(1)
# Dy2Fe3C2 PBE-GGA relaxed
# Magnetization, μB/cell: 7.963
# V, Å³ per cell: 182
data_Dy2Fe3C2
_chemical_formula_sum 'Dy4 Fe6 C4'
_space_group_name_H-M_alt 'C 1 2/m 1'
_space_group_IT_number 12
_cell_length_a 9.535
_cell_length_b 3.318
_cell_length_c 6.527
_cell_angle_alpha 90.00
_cell_angle_beta 117.93
_cell_angle_gamma 90.00
loop_
_space_group_symop_operation_xyz
'x,y,z'
'-x,-y,-z'
'-x,y,-z'
'x,-y,z'
'x+1/2,y+1/2,z'
'-x+1/2,-y+1/2,-z'
'-x+1/2,y+1/2,-z'
'x+1/2,-y+1/2,z'
loop_
_atom_site_label
_atom_site_fract_x
_atom_site_fract_y
_atom_site_fract_z
Dy1 0.127 0.000 0.280
Fe1 0.000 0.500 0.500
Fe2 0.156 0.500 0.916
C1 0.158 0.000 0.735

***

(2)
# Dy2FeC2 PBE-GGA relaxed
# Magnetization, μB/cell: 2.764
# E above lowest polymorph, eV/atom: 0.000
# V, Å³ per cell: 311
data_Dy2FeC2
_chemical_formula_sum 'Dy8 Fe4 C8'
_space_group_name_H-M_alt 'C 1 2/m 1'
_space_group_IT_number 12
_cell_length_a 10.877
_cell_length_b 5.037
_cell_length_c 6.669
_cell_angle_alpha 90.00
_cell_angle_beta 121.56
_cell_angle_gamma 90.00
loop_
_space_group_symop_operation_xyz
'x,y,z'
'-x,-y,-z'
'-x,y,-z'
'x,-y,z'
'x+1/2,y+1/2,z'
'-x+1/2,-y+1/2,-z'
'-x+1/2,y+1/2,-z'
'x+1/2,-y+1/2,z'
loop_
_atom_site_label
_atom_site_fract_x
_atom_site_fract_y
_atom_site_fract_z
Dy1 0.042 0.000 0.284
Dy2 0.183 0.500 0.112
Fe1 0.129 0.500 0.631
C1 0.015 0.500 0.299
C2 0.184 0.000 0.108

***

| no. | DOS(E_F) (states/eV per atom) | ρ (Mg/m³) | energy of formation from the pure elements (eV per atom) |
| --- | --- | --- | --- |
| 1 | 0.680 | 9.4 | 0.0482 |
| 2 | 0.561 | 8.6 | -0.2817 |